Record 1
TiSiAs2Pb: optimized geometry, PBE-GGA.

Unit cell a=5.375 b=5.375 c=5.004 alpha=90.00 beta=90.00 gamma=90.00
Element x y z (fractional)
Ti 0.000 0.000 0.000
Si 0.500 0.500 0.000
As 0.000 0.500 0.500
As 0.500 0.000 0.500
Pb 0.500 0.500 0.500

Summary:
N(E_F) = 8.166 states/eV per cell
Crystal system = tetragonal
E_form (uncorrected) = 33.566 kcal/mol of atoms

Record 2
AcLa6Sm8: optimized geometry, PBE-GGA.

Unit cell a=8.555 b=8.555 c=8.555 alpha=71.64 beta=71.64 gamma=71.64
Element x y z (fractional)
Ac 0.000 0.000 0.000
La 0.166 0.622 0.426
La 0.378 0.574 0.834
La 0.426 0.166 0.622
La 0.574 0.834 0.378
La 0.622 0.426 0.166
La 0.834 0.378 0.574
Sm 0.057 0.389 0.858
Sm 0.142 0.943 0.611
Sm 0.226 0.226 0.226
Sm 0.389 0.858 0.057
Sm 0.611 0.142 0.943
Sm 0.774 0.774 0.774
Sm 0.858 0.057 0.389
Sm 0.943 0.611 0.142

Summary:
N(E_F) = 21.773 states/eV per cell
Energy above the most stable polymorph in this dataset = 0.34 eV/f.u.
Crystal system = trigonal
Formation energy from the elements = 166.8 meV per atom

Record 3
SnSbAs: optimized geometry, PBE-GGA.

Unit cell a=9.081 b=9.081 c=9.081 alpha=160.90 beta=160.90 gamma=27.14
Element x y z (fractional)
Sn 0.000 0.000 0.000
Sb 0.816 0.816 0.000
As 0.660 0.660 0.000

Summary:
N(E_F) = 1.411 states/eV per cell
Energy above the most stable polymorph in this dataset = 0.60 eV/f.u.
Crystal system = tetragonal
E_form (uncorrected) = 4.251 kcal/mol of atoms